No. 1
Entry from the Alexandria database: crystalline Sr2Ni5As4 at its relaxed geometry (PBE).

Results
Magnetic moment   0.0 μB/cell
Total energy   -5.148 eV per atom
SG   No. 69

Cell and atoms, written as POSCAR:
```
Sr2Ni5As4
1.0
-2.052 -4.540 -2.587
1.007 -5.278 2.372
-6.720 -1.743 2.298
As Sr Ni
4 2 5
Direct
0.786 0.681 0.747 As
0.467 0.319 0.747 As
0.214 0.319 0.253 As
0.533 0.681 0.253 As
0.141 0.000 0.719 Sr
0.859 0.000 0.281 Sr
0.750 0.500 0.500 Ni
0.000 0.500 0.000 Ni
0.500 0.000 0.000 Ni
0.500 0.500 0.000 Ni
0.250 0.500 0.500 Ni
```

No. 2
Entry from the Alexandria database: crystalline CaAg6Hg6 at its relaxed geometry (PBE).

Results
Magnetic moment   0.0 μB/cell
Total energy   -1.686 eV per atom
SG   No. 71

Cell and atoms, written as POSCAR:
```
CaAg6Hg6
1.0
-2.852 0.788 4.882
4.289 -1.498 6.086
0.866 7.043 2.707
Ag Hg Ca
6 6 1
Direct
0.000 0.000 0.500 Ag
0.500 0.760 0.240 Ag
0.500 0.000 0.500 Ag
0.000 0.500 0.000 Ag
0.500 0.240 0.760 Ag
0.500 0.500 0.000 Ag
0.662 0.338 0.338 Hg
0.000 0.342 0.658 Hg
0.674 0.826 0.826 Hg
0.326 0.174 0.174 Hg
0.338 0.662 0.662 Hg
0.000 0.658 0.342 Hg
0.000 0.000 0.000 Ca
```

No. 3
Entry from the Alexandria database: crystalline Ca6CdCu at its relaxed geometry (PBE).

Results
Magnetic moment   0.0 μB/cell
Total energy   -2.214 eV per atom
SG   No. 139

Cell and atoms, written as POSCAR:
```
Ca6CdCu
1.0
5.119 0.000 1.542
-0.465 5.098 1.542
-0.277 -0.304 10.191
Ca Cd Cu
6 1 1
Direct
0.405 0.905 0.190 Ca
0.595 0.095 0.810 Ca
0.095 0.595 0.810 Ca
0.905 0.405 0.190 Ca
0.251 0.251 0.498 Ca
0.749 0.749 0.502 Ca
0.500 0.500 0.000 Cd
0.000 0.000 0.000 Cu
```